No. 1
Below is a geometry-optimized SrLiCa2Au structure, with properties calculated at the GGA-PBE level.

abc: 5.7769 5.7769 6.0582
angles: 90.00 90.00 90.00
Closest atoms and distances in Å follow each position.
Element x y z (fractional)
Ca (0.0000, 0.5000, 0.0000)  2 Au 2.89
Ca (0.5000, 0.0000, 0.0000)  2 Au 2.89
Au (0.0000, 0.0000, 0.0000)  4 Ca 2.89, 2 Sr 3.03
Sr (0.0000, 0.0000, 0.5000)  2 Au 3.03
Li (0.5000, 0.5000, 0.5000)  4 Sr 4.08, 8 Ca 4.19

Output
Raw total energy ... -12.193 eV/cell
N(E_F) ... 0.51 states/eV per atom
Energy of formation ... -1.32 eV/f.u.
Relative energy among the computed polymorphs ... 0.000 eV/f.u.
Total moment ... 0.0 μB/cell


No. 2
Below is a geometry-optimized SrLi2CaAu2 structure, with properties calculated at the GGA-PBE level.

abc: 4.5861 4.5861 8.0337
angles: 90.00 90.00 120.00
Closest atoms and distances in Å follow each position.
Element x y z (fractional)
Li (0.3333, 0.6667, 0.7200)  3 Au 2.65
Li (0.6667, 0.3333, 0.2800)  3 Au 2.65
Ca (0.0000, 0.0000, 0.5000)  6 Li 3.18, 6 Au 3.22
Au (0.3333, 0.6667, 0.2724)  3 Li 2.65
Au (0.6667, 0.3333, 0.7276)  3 Li 2.65
Sr (0.0000, 0.0000, 0.0000)  6 Au 3.43, 6 Li 3.47

Output
Raw total energy ... -17.492 eV/cell
N(E_F) ... 0.26 states/eV per atom
Energy of formation ... -3.43 eV/f.u.
Total moment ... 0.0 μB/cell


No. 3
Below is a geometry-optimized LiCaTbAu structure, with properties calculated at the GGA-PBE level.

abc: 5.1474 5.1474 5.1474
angles: 60.00 60.00 60.00
Closest atoms and distances in Å follow each position.
Element x y z (fractional)
Li (0.7500, 0.7500, 0.7500)  4 Tb 3.15, 4 Ca 3.15
Tb (0.5000, 0.5000, 0.5000)  4 Au 3.15, 4 Li 3.15
Ca (0.0000, 0.0000, 0.0000)  4 Li 3.15, 4 Au 3.15
Au (0.2500, 0.2500, 0.2500)  4 Ca 3.15, 4 Tb 3.15

Output
Raw total energy ... -13.422 eV/cell
N(E_F) ... 0.63 states/eV per atom
Energy of formation ... -1.60 eV/f.u.
Total moment ... 0.0 μB/cell